(1)
First-principles (PBE-GGA) data for a relaxed BiPdW2 crystal, as listed in the Alexandria database.

a = 3.890 Å, b = 3.890 Å, c = 10.668 Å
α = 79.49°, β = 79.49°, γ = 90.00°
Sites, in units of the cell vectors:
Pd 0.500 0.500 0.000
Bi 0.000 0.000 0.000
Bi 0.750 0.250 0.500
W 0.597 0.125 0.250
W 0.153 0.625 0.250
W 0.875 0.847 0.750
W 0.375 0.403 0.750
Pd 0.250 0.750 0.500

Calculated values
- SG = I-42d
- crystal system = tetragonal
- ΔE_f (kJ/mol of formula units) = 325
- D(E_F) (states/eV per cell) = 7.92
- total moment (μB/f.u.) = 0.00

=====

(2)
First-principles (PBE-GGA) data for a relaxed V2ZnCu crystal, as listed in the Alexandria database.

a = 3.947 Å, b = 3.196 Å, c = 9.289 Å
α = 90.00°, β = 115.04°, γ = 90.00°
Sites, in units of the cell vectors:
Cu 0.874 0.750 0.376
V 0.377 0.750 0.876
V 0.119 0.750 0.120
Zn 0.625 0.750 0.623
V 0.881 0.250 0.880
Zn 0.375 0.250 0.377
Cu 0.126 0.250 0.624
V 0.623 0.250 0.124

Calculated values
- SG = P2_1/m
- crystal system = monoclinic
- ΔE_f (kJ/mol of formula units) = -10
- D(E_F) (states/eV per cell) = 5.77
- total moment (μB/f.u.) = 0.00

=====

(3)
First-principles (PBE-GGA) data for a relaxed TaPb3Au crystal, as listed in the Alexandria database.

a = 5.492 Å, b = 5.492 Å, c = 5.492 Å
α = 90.00°, β = 90.00°, γ = 90.00°
Sites, in units of the cell vectors:
Pb 0.000 0.000 0.500
Pb 0.000 0.500 0.000
Au 0.500 0.500 0.500
Pb 0.500 0.000 0.000
Ta 0.000 0.000 0.000

Calculated values
- SG = Pm-3m
- crystal system = cubic
- ΔE_f (kJ/mol of formula units) = 328
- D(E_F) (states/eV per cell) = 2.85
- total moment (μB/f.u.) = 0.00
- ΔE to the lowest computed polymorph (meV/atom) = 0.0

=====

(4)
First-principles (PBE-GGA) data for a relaxed CaBrO2 crystal, as listed in the Alexandria database.

a = 8.277 Å, b = 8.277 Å, c = 4.433 Å
α = 90.00°, β = 90.00°, γ = 146.98°
Each line ends with the local moment (μB).
Sites, in units of the cell vectors:
O 0.771 0.229 0.750  0.18
Br 0.662 0.338 0.750  0.20
O 0.942 0.058 0.250  0.35
O 0.058 0.942 0.750  0.35
Ca 0.913 0.087 0.750  0.00
Br 0.338 0.662 0.250  0.20
O 0.229 0.771 0.250  0.18
Ca 0.087 0.913 0.250  0.00

Calculated values
- SG = Cmcm
- crystal system = orthorhombic
- D(E_F) (states/eV per cell) = 4.47
- total moment (μB/f.u.) = 0.88
- ΔE to the lowest computed polymorph (meV/atom) = 416.0
- raw formation energy (eV per atom) = -1.041

=====

(5)
First-principles (PBE-GGA) data for a relaxed SrLiW2 crystal, as listed in the Alexandria database.

a = 4.743 Å, b = 4.743 Å, c = 4.743 Å
α = 60.00°, β = 60.00°, γ = 60.00°
Sites, in units of the cell vectors:
W 0.000 0.000 0.000
Li 0.500 0.500 0.500
Sr 0.750 0.750 0.750
W 0.250 0.250 0.250

Calculated values
- SG = F-43m
- crystal system = cubic
- ΔE_f (kJ/mol of formula units) = 391
- D(E_F) (states/eV per cell) = 4.26
- total moment (μB/f.u.) = 0.00
- ΔE to the lowest computed polymorph (meV/atom) = 384.5

=====

(6)
First-principles (PBE-GGA) data for a relaxed Ba2NiRu crystal, as listed in the Alexandria database.

a = 8.167 Å, b = 8.167 Å, c = 6.661 Å
α = 52.19°, β = 52.19°, γ = 90.00°
Each line ends with the local moment (μB).
Sites, in units of the cell vectors:
Ru 0.750 0.250 0.500  0.70
Ru 0.000 0.000 0.000  0.70
Ba 0.375 0.375 0.750  -0.01
Ni 0.250 0.750 0.500  0.12
Ba 0.875 0.875 0.750  -0.01
Ni 0.500 0.500 0.000  0.12
Ba 0.125 0.625 0.250  -0.01
Ba 0.625 0.125 0.250  -0.01

Calculated values
- SG = I-42d
- crystal system = tetragonal
- ΔE_f (kJ/mol of formula units) = 327
- D(E_F) (states/eV per cell) = 14.12
- total moment (μB/f.u.) = 0.79
- ΔE to the lowest computed polymorph (meV/atom) = 700.6

=====

Uncorrected energy list, top to bottom, in eV/cell: -63.221; -47.413; -22.851; -35.513; -25.447; -31.029